(1)
# PBE Ac4Sn5Ge3, relaxed
# - E_tot: -4.5824 eV per atom
# - Mass density: 7.16 Mg/m³
# - Energy of formation: -37.70 kJ/mol of atoms
data_Ac4Sn5Ge3
_chemical_formula_sum 'Ac8 Sn10 Ge6'
_symmetry_space_group_name_H-M 'C 1 2/m 1'
_symmetry_Int_Tables_number 12
_symmetry_space_group_name_Hall '-C 2y'
_cell_length_a 17.5893
_cell_length_b 4.9712
_cell_length_c 10.5606
_cell_angle_alpha 90.00
_cell_angle_beta 120.20
_cell_angle_gamma 90.00
loop_
_atom_site_label
_atom_site_type_symbol
_atom_site_fract_x
_atom_site_fract_y
_atom_site_fract_z
Ac1 Ac 0.0041 0.0000 0.2056
Ac2 Ac 0.2394 0.5000 0.6837
Sn1 Sn 0.0000 0.5000 0.5000
Sn2 Sn 0.1011 0.5000 0.0652
Sn3 Sn 0.2181 0.0000 0.9079
Ge1 Ge 0.0000 0.0000 0.5000
Ge2 Ge 0.1424 0.5000 0.3470


(2)
# PBE Ac2Sn3Ge, relaxed
# - E_tot: -4.6693 eV per atom
# - Mass density: 7.77 Mg/m³
# - Energy of formation: -51.03 kJ/mol of atoms
data_Ac2Sn3Ge
_chemical_formula_sum 'Ac2 Sn3 Ge1'
_symmetry_space_group_name_H-M 'P m m 2'
_symmetry_Int_Tables_number 25
_symmetry_space_group_name_Hall 'P 2 -2'
_cell_length_a 4.4174
_cell_length_b 5.0384
_cell_length_c 8.4734
_cell_angle_alpha 90.00
_cell_angle_beta 90.00
_cell_angle_gamma 90.00
loop_
_atom_site_label
_atom_site_type_symbol
_atom_site_fract_x
_atom_site_fract_y
_atom_site_fract_z
Ac1 Ac 0.0000 0.0000 0.0000
Ac2 Ac 0.0000 0.5000 0.4825
Sn1 Sn 0.5000 0.0000 0.6407
Sn2 Sn 0.5000 0.5000 0.1683
Sn3 Sn 0.5000 0.5000 0.8242
Ge1 Ge 0.5000 0.0000 0.3108


(3)
# PBE Ac4Sn2Ge, relaxed
# - Polymorph energy (0 for the lowest one): 24.8 kJ per mole of atoms
# - E_tot: -4.5418 eV per atom
# - Mass density: 6.85 Mg/m³
# - Energy of formation: -37.70 kJ/mol of atoms
data_Ac4Sn2Ge
_chemical_formula_sum 'Ac8 Sn4 Ge2'
_symmetry_space_group_name_H-M 'I 4/m m m'
_symmetry_Int_Tables_number 139
_symmetry_space_group_name_Hall '-I 4 2'
_cell_length_a 5.7951
_cell_length_b 5.7951
_cell_length_c 17.5737
_cell_angle_alpha 90.00
_cell_angle_beta 90.00
_cell_angle_gamma 90.00
loop_
_atom_site_label
_atom_site_type_symbol
_atom_site_fract_x
_atom_site_fract_y
_atom_site_fract_z
Ac1 Ac 0.0000 0.0000 0.1798
Ac2 Ac 0.0000 0.5000 0.0000
Sn1 Sn 0.0000 0.0000 0.3707
Ge1 Ge 0.0000 0.0000 0.0000


(4)
# PBE Ac7Sn5Ge, relaxed
# - E_tot: -4.5357 eV per atom
# - Mass density: 7.86 Mg/m³
# - Energy of formation: -41.37 kJ/mol of atoms
data_Ac7Sn5Ge
_chemical_formula_sum 'Ac14 Sn10 Ge2'
_symmetry_space_group_name_H-M 'I m m 2'
_symmetry_Int_Tables_number 44
_symmetry_space_group_name_Hall 'I 2 -2'
_cell_length_a 6.6843
_cell_length_b 12.2844
_cell_length_c 11.6021
_cell_angle_alpha 90.00
_cell_angle_beta 90.00
_cell_angle_gamma 90.00
loop_
_atom_site_label
_atom_site_type_symbol
_atom_site_fract_x
_atom_site_fract_y
_atom_site_fract_z
Ac1 Ac 0.0000 0.0000 0.0000
Ac2 Ac 0.0000 0.0000 0.4452
Ac3 Ac 0.0000 0.3218 0.6586
Ac4 Ac 0.0000 0.3374 0.1268
Ac5 Ac 0.0000 0.5000 0.3691
Sn1 Sn 0.0000 0.5000 0.8838
Sn2 Sn 0.2378 0.2549 0.3983
Ge1 Ge 0.0000 0.0000 0.7210


(5)
# PBE Ac6SnGe2, relaxed
# - Polymorph energy (0 for the lowest one): 11.0 kJ per mole of atoms
# - E_tot: -4.6022 eV per atom
# - Mass density: 8.13 Mg/m³
# - Energy of formation: -37.86 kJ/mol of atoms
data_Ac6SnGe2
_chemical_formula_sum 'Ac12 Sn2 Ge4'
_symmetry_space_group_name_H-M 'C 1 2/m 1'
_symmetry_Int_Tables_number 12
_symmetry_space_group_name_Hall '-C 2y'
_cell_length_a 12.7152
_cell_length_b 6.3547
_cell_length_c 10.3025
_cell_angle_alpha 90.00
_cell_angle_beta 127.11
_cell_angle_gamma 90.00
loop_
_atom_site_label
_atom_site_type_symbol
_atom_site_fract_x
_atom_site_fract_y
_atom_site_fract_z
Ac1 Ac 0.0792 0.0000 0.3795
Ac2 Ac 0.1574 0.5000 0.0579
Ac3 Ac 0.1623 0.5000 0.6844
Sn1 Sn 0.0000 0.0000 0.0000
Ge1 Ge 0.1024 0.5000 0.3296


(6)
# PBE Ac6Sn2Ge, relaxed
# - E_tot: -4.6577 eV per atom
# - Mass density: 8.42 Mg/m³
# - Energy of formation: -49.80 kJ/mol of atoms
data_Ac6Sn2Ge
_chemical_formula_sum 'Ac12 Sn4 Ge2'
_symmetry_space_group_name_H-M 'A m m 2'
_symmetry_Int_Tables_number 38
_symmetry_space_group_name_Hall 'A 2 -2'
_cell_length_a 4.7031
_cell_length_b 15.5758
_cell_length_c 8.9987
_cell_angle_alpha 90.00
_cell_angle_beta 90.00
_cell_angle_gamma 90.00
loop_
_atom_site_label
_atom_site_type_symbol
_atom_site_fract_x
_atom_site_fract_y
_atom_site_fract_z
Ac1 Ac 0.0000 0.0000 0.0000
Ac2 Ac 0.0000 0.1240 0.6266
Ac3 Ac 0.5000 0.0000 0.3389
Ac4 Ac 0.5000 0.2057 0.9568
Sn1 Sn 0.0000 0.1669 0.2510
Ge1 Ge 0.5000 0.0000 0.7518


(7)
# PBE Ac12SnGe6, relaxed
# - E_tot: -4.7979 eV per atom
# - Mass density: 8.10 Mg/m³
# - Energy of formation: -51.55 kJ/mol of atoms
data_Ac12SnGe6
_chemical_formula_sum 'Ac24 Sn2 Ge12'
_symmetry_space_group_name_H-M 'I m -3'
_symmetry_Int_Tables_number 204
_symmetry_space_group_name_Hall '-I 2 2 3'
_cell_length_a 11.0381
_cell_length_b 11.0381
_cell_length_c 11.0381
_cell_angle_alpha 90.00
_cell_angle_beta 90.00
_cell_angle_gamma 90.00
loop_
_atom_site_label
_atom_site_type_symbol
_atom_site_fract_x
_atom_site_fract_y
_atom_site_fract_z
Ac1 Ac 0.0000 0.2965 0.1885
Sn1 Sn 0.0000 0.0000 0.0000
Ge1 Ge 0.0000 0.1148 0.5000


(8)
# PBE Ac2Sn2Ge, relaxed
# - E_tot: -4.7793 eV per atom
# - Mass density: 7.90 Mg/m³
# - Energy of formation: -58.98 kJ/mol of atoms
data_Ac2Sn2Ge
_chemical_formula_sum 'Ac4 Sn4 Ge2'
_symmetry_space_group_name_H-M 'P -1'
_symmetry_Int_Tables_number 2
_symmetry_space_group_name_Hall '-P 1'
_cell_length_a 4.6813
_cell_length_b 6.6007
_cell_length_c 11.3625
_cell_angle_alpha 86.81
_cell_angle_beta 78.12
_cell_angle_gamma 69.31
loop_
_atom_site_label
_atom_site_type_symbol
_atom_site_fract_x
_atom_site_fract_y
_atom_site_fract_z
Ac1 Ac 0.0565 0.2412 0.1466
Ac2 Ac 0.1938 0.7143 0.3982
Sn1 Sn 0.3651 0.6796 0.0879
Sn2 Sn 0.4782 0.1596 0.3849
Ge1 Ge 0.2674 0.1701 0.7960


(9)
# PBE Ac8Sn2Ge3, relaxed
# - E_tot: -4.6339 eV per atom
# - Mass density: 6.70 Mg/m³
# - Energy of formation: -40.94 kJ/mol of atoms
data_Ac8Sn2Ge3
_chemical_formula_sum 'Ac16 Sn4 Ge6'
_symmetry_space_group_name_H-M 'C 1 2/m 1'
_symmetry_Int_Tables_number 12
_symmetry_space_group_name_Hall '-C 2y'
_cell_length_a 16.9903
_cell_length_b 8.9050
_cell_length_c 7.8080
_cell_angle_alpha 90.00
_cell_angle_beta 107.52
_cell_angle_gamma 90.00
loop_
_atom_site_label
_atom_site_type_symbol
_atom_site_fract_x
_atom_site_fract_y
_atom_site_fract_z
Ac1 Ac 0.1075 0.0000 0.3917
Ac2 Ac 0.1103 0.2519 0.9031
Ac3 Ac 0.1103 0.5000 0.4106
Sn1 Sn 0.2496 0.0000 0.1685
Ge1 Ge 0.0000 0.2422 0.5000
Ge2 Ge 0.0000 0.5000 0.0000


(10)
# PBE Ac2SnGe3, relaxed
# - E_tot: -4.9170 eV per atom
# - Mass density: 7.74 Mg/m³
# - Energy of formation: -55.16 kJ/mol of atoms
data_Ac2SnGe3
_chemical_formula_sum 'Ac16 Sn8 Ge24'
_symmetry_space_group_name_H-M 'F m m m'
_symmetry_Int_Tables_number 69
_symmetry_space_group_name_Hall '-F 2 2'
_cell_length_a 8.8919
_cell_length_b 9.3801
_cell_length_c 16.2686
_cell_angle_alpha 90.00
_cell_angle_beta 90.00
_cell_angle_gamma 90.00
loop_
_atom_site_label
_atom_site_type_symbol
_atom_site_fract_x
_atom_site_fract_y
_atom_site_fract_z
Ac1 Ac 0.2474 0.0000 0.0000
Ac2 Ac 0.2500 0.2500 0.2500
Sn1 Sn 0.0000 0.0000 0.3335
Ge1 Ge 0.0000 0.0000 0.1619
Ge2 Ge 0.0000 0.2413 0.0806


(11)
# PBE Ac2SnGe2, relaxed
# - E_tot: -4.9969 eV per atom
# - Mass density: 8.12 Mg/m³
# - Energy of formation: -68.12 kJ/mol of atoms
data_Ac2SnGe2
_chemical_formula_sum 'Ac4 Sn2 Ge4'
_symmetry_space_group_name_H-M 'P 4/m b m'
_symmetry_Int_Tables_number 127
_symmetry_space_group_name_Hall '-P 4 2ab'
_cell_length_a 7.9548
_cell_length_b 7.9548
_cell_length_c 4.6411
_cell_angle_alpha 90.00
_cell_angle_beta 90.00
_cell_angle_gamma 90.00
loop_
_atom_site_label
_atom_site_type_symbol
_atom_site_fract_x
_atom_site_fract_y
_atom_site_fract_z
Ac1 Ac 0.1808 0.3192 0.0000
Sn1 Sn 0.0000 0.0000 0.5000
Ge1 Ge 0.1156 0.6156 0.5000


(12)
# PBE Ac3Sn2Ge3, relaxed
# - E_tot: -4.6940 eV per atom
# - Mass density: 8.05 Mg/m³
# - Energy of formation: -40.63 kJ/mol of atoms
data_Ac3Sn2Ge3
_chemical_formula_sum 'Ac6 Sn4 Ge6'
_symmetry_space_group_name_H-M 'I m m m'
_symmetry_Int_Tables_number 71
_symmetry_space_group_name_Hall '-I 2 2'
_cell_length_a 4.0558
_cell_length_b 5.0897
_cell_length_c 22.7107
_cell_angle_alpha 90.00
_cell_angle_beta 90.00
_cell_angle_gamma 90.00
loop_
_atom_site_label
_atom_site_type_symbol
_atom_site_fract_x
_atom_site_fract_y
_atom_site_fract_z
Ac1 Ac 0.0000 0.0000 0.0000
Ac2 Ac 0.0000 0.5000 0.1285
Sn1 Sn 0.0000 0.0000 0.2377
Ge1 Ge 0.0000 0.0000 0.5000
Ge2 Ge 0.0000 0.5000 0.3685